{
  "formula": "MnPbIO2",
  "functional": "PBE+U",
  "state": "relaxed",
  "crystal_system": "tetragonal",
  "m_tot_mub_per_fu": 5.449,
  "total_energy_ev_per_atom": -4.6157,
  "e_above_lowest_polymorph_ev_per_atom": 1.086,
  "lattice": [[4.317, 0.000, 0.000], [0.000, 4.317, 0.000], [0.000, 0.000, 6.269]],
  "species": ["Mn", "Pb", "I", "O", "O"],
  "fractional_positions": [[0.000, 0.000, 0.000], [0.500, 0.500, 0.500], [0.500, 0.500, 0.000], [0.000, 0.500, 0.500], [0.500, 0.000, 0.500]]
}